1.
Material: Ba2TlHgPt
Method: DFT, PBE-GGA
State: relaxed

Unit cell a=6.171 b=6.171 c=5.274 alpha=90.00 beta=90.00 gamma=90.00
Space group P4/mmm (No. 123)
Unique sites:
Ba: 0.000 0.500 0.000 x2
Tl: 0.000 0.000 0.500 x1
Hg: 0.500 0.500 0.500 x1
Pt: 0.000 0.000 0.000 x1

## Properties
**E_tot**: -14.9 eV per formula unit
**Formation enthalpy at 0 K**: -0.463 eV per atom


2.
Material: MnCr2Se
Method: DFT, PBE-GGA
State: relaxed

Unit cell a=5.623 b=5.623 c=8.602 alpha=90.00 beta=90.00 gamma=90.00
Space group I-42d (No. 122)
Unique sites:
Mn: 0.000 0.000 0.000 x4
Cr: 0.226 0.250 0.125 x8
Se: 0.000 0.000 0.500 x4

## Properties
**E_tot**: -28.3 eV per formula unit
**Formation energy without anion corrections**: 0.90 eV per atom


3.
Material: PmEr8Mg6
Method: DFT, PBE-GGA
State: relaxed

Unit cell a=9.0722 b=9.0722 c=19.2073 alpha=90.00 beta=90.00 gamma=120.00
Space group R-3 (No. 148, hexagonal axes)
Unique sites:
Pm: 0.0000 0.0000 0.0000 x3
Er: 0.0000 0.0000 0.3371 x6
Er: 0.9998 0.3343 0.8828 x18
Mg: 0.0019 0.6650 0.9515 x18

## Properties
**E_tot**: -47.7 eV per formula unit
**Formation enthalpy at 0 K**: 0.208 eV per atom


4.
Material: LiTa2As
Method: DFT, PBE-GGA
State: relaxed

Unit cell a=5.609 b=7.205 c=3.157 alpha=90.00 beta=90.00 gamma=90.00
Space group Cmmm (No. 65)
Unique sites:
Li: 0.000 0.000 0.000 x2
Ta: 0.250 0.250 0.500 x4
As: 0.000 0.500 0.000 x2

## Properties
**E_tot**: -29.8 eV per formula unit
**Formation enthalpy at 0 K**: 0.119 eV per atom


Per-record calculated density, g/cm³: 7.2 5.8 5.9 11.6